Record 1
KMgAg2Br6 after structural relaxation, computed with PBE.

**DOS(E_F)**: 0.4732 states/eV/atom
**E**: -2.70 eV per atom

Structure (POSCAR):
```
KMgAg2Br6
1.0
-5.2649 -0.4019 7.2310
-9.4139 -0.6647 -2.7597
-1.4396 -9.3832 2.5618
Br Ag Mg K
12 4 2 2
Cartesian
-8.0499 -5.7813 0.6725
-10.8963 -8.6208 0.8811
-5.2220 -1.8289 6.1520
-9.8167 -8.6843 8.3203
-11.1457 -4.1523 2.0612
-3.2584 -0.8968 2.0902
-4.9727 -6.2975 4.9719
-6.3017 -1.7655 -1.2872
-8.0685 -4.6685 6.3606
-12.8600 -9.5530 4.9429
-6.4057 -3.4074 2.0980
-9.7126 -7.0424 4.9351
-11.7705 -7.7071 6.4854
-6.2353 -3.7582 4.6604
-9.8831 -6.6915 2.3727
-4.3479 -2.7427 0.5477
-12.0722 -2.3769 3.5246
-4.0462 -8.0729 3.5084
-9.2823 -2.3481 0.0142
-6.8360 -8.1017 7.0189
```



Record 2
HgBiBr after structural relaxation, computed with PBE.

**E**: -2.22 eV per atom

Structure (POSCAR):
```
HgBiBr
1.0
4.2529 0.0105 -0.0003
2.1081 7.0495 0.9761
-0.0074 2.8808 7.4757
Br Hg Bi
2 2 2
Cartesian
1.1405 4.2011 5.5678
3.2585 7.2009 3.3726
5.3840 7.5386 5.2920
3.2678 3.8739 3.6481
3.2691 3.1783 0.9092
5.3829 8.2343 8.0311
```



Record 3
Sb3Mo after structural relaxation, computed with PBE.

**DOS(E_F)**: 0.2748 states/eV/atom
**E**: -5.29 eV per atom

Structure (POSCAR):
```
Sb3Mo
1.0
-3.8021 2.3523 -3.4843
-4.1728 -1.5407 3.5133
0.5109 4.9216 2.7652
Sb Mo
6 2
Cartesian
-1.7733 2.4066 -1.0508
-3.0369 -0.1823 0.8856
-0.7878 2.0756 2.2609
-2.8742 1.3053 4.0175
-4.9380 0.9939 -0.8566
-1.5179 4.8674 0.3317
0.0000 0.0000 0.0000
-3.7320 2.8666 1.3971
```



Record 4
Mn2InMo after structural relaxation, computed with PBE.

**DOS(E_F)**: 0.9250 states/eV/atom
**ΔE_f**: 0.26 eV/atom

Structure (POSCAR):
```
Mn2InMo
1.0
-1.5442 -1.0797 4.2243
2.8757 -3.3840 1.2938
1.1203 4.1907 -1.6055
Mo In Mn
1 1 2
Cartesian
2.3309 -0.7125 1.2237
0.1210 0.4396 2.6889
0.0000 0.0000 0.0000
0.6658 -2.2318 2.7591
```



Record 5
Ce2HoCuS5 after structural relaxation, computed with PBE.

**DOS(E_F)**: 1.2869 states/eV/atom
**E**: -6.32 eV per atom

Structure (POSCAR):
```
Ce2HoCuS5
1.0
3.8820 0.0000 0.0000
-1.9410 8.1973 0.0000
0.0000 0.0000 11.8877
S Ce Ho Cu
10 4 2 2
Cartesian
0.0000 4.9613 8.1531
1.9410 3.0831 10.2499
0.0000 8.1096 8.9219
1.9410 2.5394 6.1782
1.9410 7.9363 6.1323
0.0000 0.2611 0.1885
0.0000 5.1143 4.3061
1.9410 0.0877 2.9781
0.0000 5.6579 0.2344
1.9410 3.2360 2.2092
0.0000 1.8842 4.1221
1.9410 6.2754 2.3002
0.0000 1.9219 8.2441
1.9410 6.3131 10.0659
1.9410 5.2418 6.2500
0.0000 2.9556 0.3062
0.0000 7.3610 5.0380
1.9410 0.8363 10.9818
```



Record 6
CaSmH6Pt2 after structural relaxation, computed with PBE.

**DOS(E_F)**: 0.3049 states/eV/atom
**E**: -4.46 eV per atom

Structure (POSCAR):
```
CaSmH6Pt2
1.0
6.1076 -0.3590 -0.1104
-1.1040 6.0177 -0.1104
-1.5281 -1.7281 6.4357
Ca H Pt Sm
2 12 4 2
Cartesian
-0.3612 4.5911 1.4985
3.8368 -0.6605 4.7164
1.7591 3.7834 0.5849
0.0828 0.3331 3.1398
4.9942 2.0393 0.6541
-0.4436 -0.7411 6.3577
3.3927 3.5975 3.0751
-1.5187 1.8913 5.5609
3.9191 4.6717 -0.1427
1.7165 0.1472 5.6300
2.7756 1.3450 3.8028
0.7000 2.5857 2.4122
0.6485 4.3422 3.8720
2.8270 -0.4116 2.3430
3.9374 2.5264 4.2351
-0.4619 1.4043 1.9798
0.6862 -1.1505 5.1977
2.7893 5.0812 1.0173
2.7398 1.8491 1.4985
0.7358 2.0815 4.7164
```



Record 7
YAs3P after structural relaxation, computed with PBE.

**DOS(E_F)**: 0.6898 states/eV/atom
**ΔE_f**: -0.01 eV/atom

Structure (POSCAR):
```
YAs3P
1.0
4.7928 0.0000 0.0000
0.0000 4.7928 0.0000
0.0000 0.0000 4.7928
As Y P
3 1 1
Cartesian
0.0000 2.3964 0.0000
2.3964 0.0000 0.0000
0.0000 0.0000 2.3964
2.3964 2.3964 2.3964
0.0000 0.0000 0.0000
```



Record 8
Al3TeAs after structural relaxation, computed with PBE.

**DOS(E_F)**: 0.7750 states/eV/atom
**E**: -2.84 eV per atom

Structure (POSCAR):
```
Al3TeAs
1.0
-5.1883 0.9985 0.1729
-0.8125 -3.5600 -3.8225
-0.6056 -3.7782 3.6475
Al As Te
3 1 1
Cartesian
-0.4062 -1.7800 -1.9112
-2.5942 0.4992 0.0864
-0.3028 -1.8891 1.8237
-3.3032 -3.1699 -0.0011
0.0000 0.0000 0.0000
```